! PBE-GGA ZrI2N, optimized geometry; values from VASP
! uncorrected formation energy = 1.03 eV/atom
! relative energy among the computed polymorphs = 235 meV per atom
! M_tot = 1.00 μB/f.u.
! space group = No. 122
&SYSTEM
  ibrav = 0, nat = 8, ntyp = 3
/
ATOMIC_SPECIES
I 126.90 I.upf
Zr 91.22 Zr.upf
N 14.01 N.upf
CELL_PARAMETERS angstrom
7.3220 0.0000 0.0000
0.0000 7.3220 0.0000
3.6610 3.6610 5.6914
ATOMIC_POSITIONS crystal
I 0.6523 0.1250 0.2500
Zr 0.0000 0.0000 0.0000
I 0.8750 0.9023 0.7500
I 0.3750 0.3477 0.7500
I 0.0977 0.6250 0.2500
N 0.5000 0.5000 0.0000
Zr 0.7500 0.2500 0.5000
N 0.2500 0.7500 0.5000

=====

! PBE-GGA ZrIN, optimized geometry; values from VASP
! uncorrected formation energy = -1.34 eV/atom
! M_tot = 0.00 μB/f.u.
! space group = No. 166
&SYSTEM
  ibrav = 0, nat = 6, ntyp = 3
/
ATOMIC_SPECIES
Zr 91.22 Zr.upf
N 14.01 N.upf
I 126.90 I.upf
CELL_PARAMETERS angstrom
-1.0106 -9.1213 -6.9864
-1.1756 -10.8728 -3.6646
-4.2857 -9.3827 -5.1602
ATOMIC_POSITIONS crystal
Zr 0.7956 0.7956 0.7956
N 0.8594 0.8594 0.8594
Zr 0.2044 0.2044 0.2044
I 0.6030 0.6030 0.6030
I 0.3970 0.3970 0.3970
N 0.1406 0.1406 0.1406

=====

Please write out number 1 again, unchanged.
! PBE-GGA ZrI2N, optimized geometry; values from VASP
! uncorrected formation energy = 1.03 eV/atom
! relative energy among the computed polymorphs = 235 meV per atom
! M_tot = 1.00 μB/f.u.
! space group = No. 122
&SYSTEM
  ibrav = 0, nat = 8, ntyp = 3
/
ATOMIC_SPECIES
I 126.90 I.upf
Zr 91.22 Zr.upf
N 14.01 N.upf
CELL_PARAMETERS angstrom
7.3220 0.0000 0.0000
0.0000 7.3220 0.0000
3.6610 3.6610 5.6914
ATOMIC_POSITIONS crystal
I 0.6523 0.1250 0.2500
Zr 0.0000 0.0000 0.0000
I 0.8750 0.9023 0.7500
I 0.3750 0.3477 0.7500
I 0.0977 0.6250 0.2500
N 0.5000 0.5000 0.0000
Zr 0.7500 0.2500 0.5000
N 0.2500 0.7500 0.5000